Here is a relaxed LiRe2Tc crystal from the Alexandria database. Energies are from PBE-GGA.

a = 4.2773 Å, b = 4.2773 Å, c = 3.0630 Å
α = 90.00°, β = 90.00°, γ = 90.00°
Space group P4/mmm (No. 123)
Asymmetric unit:
Li 0.0000 0.0000 0.0000 [1 per cell]
Re 0.0000 0.5000 0.5000 [2 per cell]
Tc 0.5000 0.5000 0.0000 [1 per cell]

Values from the calculation:
formation energy: 0.447 eV/atom
distance to the lowest polymorph of the same formula: 275.4 meV/atom
Fermi-level density of states: 4.02 states/eV/f.u.